The following is a DFT calculation (PBE-GGA) of an optimized crystal structure of MgAsSe2O.

Output
Energy above the lowest structure with this stoichiometry ... 0.0 meV/atom
Fermi-level density of states ... 0.851 states/eV per atom
Uncorrected formation energy ... 0.10 eV/atom

```
data_MgAsSe2O
_chemical_formula_sum 'Mg1 As1 Se2 O1'
_space_group_name_H-M_alt 'P 4/m m m'
_space_group_IT_number 123
_space_group_name_Hall '-P 4 2'
_cell_length_a 4.509
_cell_length_b 4.509
_cell_length_c 4.482
_cell_angle_alpha 90.00
_cell_angle_beta 90.00
_cell_angle_gamma 90.00
loop_
_atom_site_label
_atom_site_type_symbol
_atom_site_fract_x
_atom_site_fract_y
_atom_site_fract_z
_atom_site_occupancy
Mg1 Mg 0.000 0.000 0.000 1
As1 As 0.500 0.500 0.000 1
Se1 Se 0.000 0.500 0.500 1
O1 O 0.500 0.500 0.500 1
```